No. 1
MgCd3: PBEsol geometry, meta-GGA SCAN.

Results
excess energy over the best structure of this formula in the dataset	6.22	kJ/mol of atoms
energy of formation from the pure elements	-29	meV per atom

abc: 4.907 4.907 4.907
angles: 60.00 60.00 60.00
Fractional coordinates of all 4 atoms:
Cd 0.750 0.750 0.750
Cd 0.000 0.000 0.000
Cd 0.250 0.250 0.250
Mg 0.500 0.500 0.500

---

No. 2
Mg5Cd: PBEsol geometry, meta-GGA SCAN.

Results
energy of formation from the pure elements	-31	meV per atom

abc: 3.195 3.195 14.954
angles: 90.00 90.00 120.00
Fractional coordinates of all 6 atoms:
Mg 0.000 0.000 0.670
Mg 0.333 0.667 0.159
Mg 0.000 0.000 0.330
Mg 0.333 0.667 0.500
Mg 0.333 0.667 0.841
Cd 0.000 0.000 0.000

---

No. 3
Mg3Cd5: PBEsol geometry, meta-GGA SCAN.

Results
excess energy over the best structure of this formula in the dataset	0.00	kJ/mol of atoms
energy of formation from the pure elements	-120	meV per atom

abc: 4.395 6.152 6.152
angles: 92.74 90.00 90.00
Fractional coordinates of all 8 atoms:
Cd 0.000 0.000 0.000
Cd 0.000 0.500 0.000
Cd 0.500 0.742 0.742
Cd 0.000 0.000 0.500
Cd 0.500 0.258 0.258
Mg 0.500 0.243 0.757
Mg 0.500 0.757 0.243
Mg 0.000 0.500 0.500

---

No. 4
MgCd3: PBEsol geometry, meta-GGA SCAN.

Results
excess energy over the best structure of this formula in the dataset	2.13	kJ/mol of atoms
energy of formation from the pure elements	-71	meV per atom

abc: 3.181 5.148 5.481
angles: 100.50 90.00 108.00
Fractional coordinates of all 4 atoms:
Cd 0.000 0.000 0.500
Cd 0.249 0.498 0.248
Cd 0.751 0.502 0.752
Mg 0.500 0.000 0.000

---

No. 5
MgCd3: PBEsol geometry, meta-GGA SCAN.

Results
excess energy over the best structure of this formula in the dataset	1.99	kJ/mol of atoms
energy of formation from the pure elements	-72	meV per atom

abc: 3.156 4.324 6.111
angles: 90.00 90.00 90.00
Fractional coordinates of all 4 atoms:
Mg 0.500 0.500 0.000
Cd 0.000 0.000 0.247
Cd 0.000 0.000 0.753
Cd 0.500 0.500 0.500

---

No. 6
Mg5Cd24: PBEsol geometry, meta-GGA SCAN.

Results
energy of formation from the pure elements	-42	meV per atom

abc: 9.272 9.272 9.272
angles: 109.47 109.47 109.47
Fractional coordinates of all 29 atoms:
Cd 0.813 0.623 0.623
Cd 0.590 0.276 0.590
Cd 0.809 0.809 0.187
Cd 0.377 0.191 0.000
Cd 0.686 0.000 0.410
Cd 0.623 0.813 0.623
Cd 0.191 0.000 0.377
Cd 0.187 0.809 0.809
Cd 0.000 0.686 0.410
Cd 0.410 0.000 0.686
Cd 0.724 0.314 0.314
Cd 0.410 0.686 0.000
Cd 0.000 0.410 0.686
Cd 0.191 0.377 0.000
Cd 0.686 0.410 0.000
Cd 0.377 0.000 0.191
Cd 0.000 0.377 0.191
Cd 0.590 0.590 0.276
Cd 0.623 0.623 0.813
Cd 0.314 0.314 0.724
Cd 0.000 0.191 0.377
Cd 0.314 0.724 0.314
Cd 0.809 0.187 0.809
Cd 0.276 0.590 0.590
Mg 0.000 0.000 0.639
Mg 0.000 0.000 0.000
Mg 0.361 0.361 0.361
Mg 0.000 0.639 0.000
Mg 0.639 0.000 0.000

---

No. 7
Mg4Cd3: PBEsol geometry, meta-GGA SCAN.

Results
excess energy over the best structure of this formula in the dataset	0.00	kJ/mol of atoms
energy of formation from the pure elements	-109	meV per atom

abc: 3.721 3.721 11.039
angles: 99.70 99.70 90.00
Fractional coordinates of all 7 atoms:
Mg 0.854 0.854 0.707
Mg 0.430 0.430 0.859
Mg 0.146 0.146 0.293
Mg 0.570 0.570 0.141
Cd 0.713 0.713 0.426
Cd 0.000 0.000 0.000
Cd 0.287 0.287 0.574

---

No. 8
Mg3Cd4: PBEsol geometry, meta-GGA SCAN.

Results
energy of formation from the pure elements	-103	meV per atom

abc: 3.756 3.756 10.811
angles: 100.00 100.00 90.00
Fractional coordinates of all 7 atoms:
Cd 0.144 0.144 0.287
Cd 0.571 0.571 0.142
Cd 0.856 0.856 0.713
Cd 0.429 0.429 0.858
Mg 0.711 0.711 0.423
Mg 0.000 0.000 0.000
Mg 0.289 0.289 0.577

---

No. 9
Mg7Cd: PBEsol geometry, meta-GGA SCAN.

Results
energy of formation from the pure elements	-35	meV per atom

abc: 6.294 6.294 6.294
angles: 60.00 60.00 60.00
Fractional coordinates of all 8 atoms:
Mg 0.000 0.000 0.500
Mg 0.500 0.000 0.500
Mg 0.500 0.500 0.000
Mg 0.500 0.500 0.500
Mg 0.500 0.000 0.000
Mg 0.000 0.500 0.500
Mg 0.000 0.500 0.000
Cd 0.000 0.000 0.000

---

No. 10
MgCd5: PBEsol geometry, meta-GGA SCAN.

Results
energy of formation from the pure elements	-48	meV per atom

abc: 3.138 5.910 7.309
angles: 106.48 90.00 105.39
Fractional coordinates of all 6 atoms:
Mg 0.721 0.443 0.943
Cd 0.056 0.113 0.614
Cd 0.331 0.662 0.668
Cd 0.999 0.999 0.999
Cd 0.668 0.336 0.329
Cd 0.391 0.781 0.280

---

No. 11
MgCd3: PBEsol geometry, meta-GGA SCAN.

Results
excess energy over the best structure of this formula in the dataset	2.93	kJ/mol of atoms
energy of formation from the pure elements	-63	meV per atom

abc: 8.361 8.361 8.652
angles: 90.00 90.00 120.00
Fractional coordinates of all 24 atoms:
Mg 0.000 0.666 0.448
Mg 0.000 0.334 0.948
Mg 0.666 0.000 0.448
Mg 0.666 0.666 0.948
Mg 0.334 0.334 0.448
Mg 0.334 0.000 0.948
Cd 0.000 0.663 0.109
Cd 0.333 0.667 0.705
Cd 0.667 0.333 0.205
Cd 0.671 0.671 0.286
Cd 0.667 0.333 0.705
Cd 0.000 0.000 0.180
Cd 0.663 0.663 0.609
Cd 0.329 0.329 0.786
Cd 0.337 0.000 0.609
Cd 0.333 0.667 0.205
Cd 0.671 0.000 0.786
Cd 0.000 0.329 0.286
Cd 0.663 0.000 0.109
Cd 0.000 0.671 0.786
Cd 0.000 0.337 0.609
Cd 0.329 0.000 0.286
Cd 0.000 0.000 0.680
Cd 0.337 0.337 0.109

---

No. 12
MgCd3: PBEsol geometry, meta-GGA SCAN.

Results
excess energy over the best structure of this formula in the dataset	2.00	kJ/mol of atoms
energy of formation from the pure elements	-72	meV per atom

abc: 3.094 5.228 5.970
angles: 115.96 105.02 90.00
Fractional coordinates of all 4 atoms:
Cd 0.749 0.749 0.499
Cd 0.251 0.251 0.501
Cd 0.500 0.169 0.000
Mg 0.000 0.664 0.000